Density functional theory data (PBE) for a relaxed structure of Er2AlSi2Rh5.

a = 3.4408 Å, b = 9.6771 Å, c = 9.6771 Å
α = 90.00°, β = 90.00°, γ = 90.00°
Closest atoms and distances in Å follow each position.
Element x y z (fractional)
Er 0.0000 0.6744 0.1744  3 Si 2.75-2.93, 6 Rh 2.94-3.05
Er 0.0000 0.3256 0.8256  3 Si 2.75-2.93, 6 Rh 2.94-3.05
Er 0.0000 0.1744 0.3256  3 Si 2.75-2.93, 6 Rh 2.94-3.05
Er 0.0000 0.8256 0.6744  3 Si 2.75-2.93, 6 Rh 2.94-3.05
Al 0.0000 0.0000 0.0000  8 Rh 2.74
Al 0.0000 0.5000 0.5000  8 Rh 2.74
Si 0.0000 0.1244 0.6244  6 Rh 2.41-2.42
Si 0.0000 0.8756 0.3756  6 Rh 2.41-2.42
Si 0.0000 0.6244 0.8756  6 Rh 2.41-2.42
Si 0.0000 0.3756 0.1244  6 Rh 2.41-2.42
Rh 0.5000 0.2100 0.0684  2 Si 2.41
Rh 0.5000 0.7900 0.9316  2 Si 2.41
Rh 0.5000 0.0684 0.7900  2 Si 2.41
Rh 0.5000 0.7100 0.4316  2 Si 2.41
Rh 0.5000 0.9316 0.2100  2 Si 2.41
Rh 0.5000 0.2900 0.5684  2 Si 2.41
Rh 0.5000 0.5684 0.7100  2 Si 2.41
Rh 0.5000 0.4316 0.2900  2 Si 2.41
Rh 0.5000 0.5000 0.0000  4 Si 2.42
Rh 0.5000 0.0000 0.5000  4 Si 2.42

Calculated values
Raw formation energy in eV/atom: -1.019
N(E_F) in states/eV/cell: 6.28
Space group: No. 127
E in eV per atom: -7.07